(1)
4
Lattice="9.071 -0.028 -0.016 8.629 2.795 -0.016 8.629 1.349 2.447" Properties=species:S:1:pos:R:3 comment="PBE InIr2Ru, optimized geometry" m_tot_mub_per_cell=0.00 sg=R-3m e_form_kj_per_mol_fu=75 pbc="T T T"
In 19.747 3.087 1.811
Ir 26.220 4.099 2.405
Ir 13.274 2.075 1.218
Ru 6.582 1.029 0.604

=====

(2)
4
Lattice="-1.374 -4.270 1.872 2.910 -1.157 3.717 -2.494 4.042 -1.029" Properties=species:S:1:pos:R:3 comment="PBE InIr2Ru, optimized geometry" m_tot_mub_per_cell=0.00 sg=I4/mmm e_form_kj_per_mol_fu=38 pbc="T T T"
In -1.550 -1.470 1.818
Ir 0.000 0.000 0.000
Ir 0.768 -2.713 2.794
Ru 0.592 0.086 2.741

=====

(3)
4
Lattice="5.598 0.020 -0.002 2.893 4.793 0.002 -3.602 -3.542 2.412" Properties=species:S:1:pos:R:3 comment="PBE InIr2Ru, optimized geometry" m_tot_mub_per_cell=0.00 sg=Imm2 e_form_kj_per_mol_fu=108 pbc="T T T"
In 1.751 1.818 1.207
Ir 8.346 4.730 0.000
Ir 3.118 -0.560 1.205
Ru 4.413 2.501 0.000

=====

(4)
6
Lattice="0.000 3.937 3.937 3.937 0.000 3.937 3.937 3.937 0.000" Properties=species:S:1:pos:R:3 comment="PBE In4IrRu, optimized geometry" m_tot_mub_per_cell=1.00 sg=F-43m e_form_kj_per_mol_fu=547 pbc="T T T"
In 2.952 4.921 4.921
In 4.921 4.921 2.952
In 4.921 2.952 4.921
In 2.952 2.952 2.952
Ir 5.905 5.905 5.905
Ru 0.000 0.000 0.000

=====

(5)
4
Lattice="-2.277 -0.244 1.677 -2.125 -1.103 -3.046 1.350 -5.467 1.037" Properties=species:S:1:pos:R:3 comment="PBE InIr2Ru, optimized geometry" m_tot_mub_per_cell=0.00 sg=Pmmm e_form_kj_per_mol_fu=41 pbc="T T T"
In -1.188 -4.774 0.093
Ir 0.026 -0.105 0.020
Ir 0.649 -2.629 0.499
Ru -1.863 -2.040 -0.425

=====

(6)
4
Lattice="4.807 -0.002 0.000 3.966 2.716 0.000 0.815 0.252 4.820" Properties=species:S:1:pos:R:3 comment="PBE InIr2Ru, optimized geometry" m_tot_mub_per_cell=0.00 sg=Cm e_form_kj_per_mol_fu=36 pbc="T T T"
In 2.393 0.740 1.184
Ir 0.857 0.265 4.744
Ir 7.196 2.226 3.569
Ru 4.752 1.470 2.553

=====

(7)
4
Lattice="4.831 0.005 0.000 1.531 4.582 0.000 -3.181 -2.293 2.821" Properties=species:S:1:pos:R:3 comment="PBE InIr2Ru, optimized geometry" m_tot_mub_per_cell=0.00 sg=I-4m2 e_form_kj_per_mol_fu=41 pbc="T T T"
In 2.415 0.002 1.411
Ir 0.000 0.000 0.000
Ir 0.766 2.291 1.411
Ru 3.181 2.293 0.000

=====

(8)
10
Lattice="7.582 0.000 0.000 0.000 7.582 0.000 0.000 0.000 2.810" Properties=species:S:1:pos:R:3 comment="PBE InIr2Ru2, optimized geometry" m_tot_mub_per_cell=0.00 sg=P4/mbm e_form_kj_per_mol_fu=114 pbc="T T T"
Ru 1.309 5.100 1.405
Ru 5.100 6.273 1.405
Ru 6.273 2.482 1.405
Ru 2.482 1.309 1.405
Ir 2.861 6.652 0.000
Ir 6.652 4.721 0.000
Ir 4.721 0.930 0.000
Ir 0.930 2.861 0.000
In 0.000 0.000 0.000
In 3.791 3.791 0.000